# 1
{
  "formula": "SbPt2NO",
  "functional": "SCAN",
  "state": "PBEsol geometry",
  "cell": [[-1.779, 3.333, 1.124], [-1.539, -2.228, 4.171], [4.162, 1.444, 2.307]],
  "species": ["Pt", "O", "Pt", "Sb", "N"],
  "frac_coords": [[0.000, 0.500, 0.000], [0.500, 0.500, 0.500], [0.000, 0.000, 0.500], [0.000, 0.000, 0.000], [0.500, 0.000, 0.000]],
  "dft_energy_ev_per_atom": -36.80,
  "magmom_total_mub_per_cell": 1.252,
  "space_group": "No. 123"
}


# 2
{
  "formula": "ScAg2Pb",
  "functional": "SCAN",
  "state": "PBEsol geometry",
  "cell": [[-2.333, 0.727, -2.049], [2.808, -1.734, -3.812], [-1.914, -4.665, 0.712]],
  "species": ["Sc", "Pb", "Ag", "Ag"],
  "frac_coords": [[0.000, 0.500, 0.500], [0.500, 0.500, 0.000], [0.720, 0.000, 0.735], [0.280, 0.000, 0.265]],
  "dft_energy_ev_per_atom": -38.33,
  "e_form_ev_per_atom": -0.15,
  "magmom_total_mub_per_cell": 0.339,
  "space_group": "No. 10"
}


# 3
{
  "formula": "TaCoPd3",
  "functional": "SCAN",
  "state": "PBEsol geometry",
  "cell": [[-0.363, -4.441, 1.528], [3.723, -1.206, -2.621], [2.863, 1.006, 3.603]],
  "species": ["Pd", "Co", "Ta", "Pd", "Pd"],
  "frac_coords": [[0.000, 0.500, 0.000], [0.500, 0.500, 0.500], [0.000, 0.000, 0.000], [0.000, 0.000, 0.500], [0.500, 0.000, 0.000]],
  "dft_energy_ev_per_atom": -35.26,
  "e_form_ev_per_atom": 1.19,
  "magmom_total_mub_per_cell": 1.785,
  "space_group": "No. 221"
}


# 4
{
  "formula": "Sr2TcIr",
  "functional": "SCAN",
  "state": "PBEsol geometry",
  "cell": [[3.433, -0.032, 0.000], [-0.318, 3.419, 0.000], [0.000, 0.000, 9.083]],
  "species": ["Sr", "Sr", "Ir", "Tc"],
  "frac_coords": [[0.500, 0.500, 0.327], [0.000, 0.000, 0.918], [0.500, 0.500, 0.674], [0.000, 0.000, 0.581]],
  "dft_energy_ev_per_atom": -37.41,
  "e_form_ev_per_atom": 0.26,
  "magmom_total_mub_per_cell": 0.022,
  "space_group": "No. 35"
}


# 5
{
  "formula": "Ho2TlAg",
  "functional": "SCAN",
  "state": "PBEsol geometry",
  "cell": [[5.144, 0.000, 0.000], [2.572, 4.455, 0.000], [2.572, 1.485, 4.200]],
  "species": ["Ag", "Ho", "Ho", "Tl"],
  "frac_coords": [[0.500, 0.500, 0.500], [0.250, 0.250, 0.250], [0.750, 0.750, 0.750], [0.000, 0.000, 0.000]],
  "dft_energy_ev_per_atom": -50.91,
  "e_form_ev_per_atom": -0.49,
  "magmom_total_mub_per_cell": 0.000,
  "space_group": "No. 225"
}


# 6
{
  "formula": "ZrSn2",
  "functional": "SCAN",
  "state": "PBEsol geometry",
  "cell": [[5.524, 0.004, 0.000], [-2.664, 4.840, 0.000], [-1.430, -2.422, 4.944]],
  "species": ["Zr", "Sn", "Sn", "Zr", "Sn", "Sn"],
  "frac_coords": [[0.000, 0.000, 0.000], [0.581, 0.419, 0.500], [0.331, 0.669, 0.000], [0.250, 0.750, 0.500], [0.669, 0.331, 0.000], [0.919, 0.081, 0.500]],
  "dft_energy_ev_per_atom": -34.67,
  "e_form_ev_per_atom": -0.49,
  "magmom_total_mub_per_cell": 0.000,
  "space_group": "No. 70"
}


# 7
{
  "formula": "SiIr3Se",
  "functional": "SCAN",
  "state": "PBEsol geometry",
  "cell": [[4.417, 0.000, 0.000], [0.000, 4.417, 0.000], [0.000, 0.000, 4.417]],
  "species": ["Ir", "Si", "Ir", "Se", "Ir"],
  "frac_coords": [[0.000, 0.500, 0.000], [0.000, 0.000, 0.000], [0.000, 0.000, 0.500], [0.500, 0.500, 0.500], [0.500, 0.000, 0.000]],
  "dft_energy_ev_per_atom": -47.59,
  "magmom_total_mub_per_cell": 1.653,
  "space_group": "No. 221"
}


# 8
{
  "formula": "Cd2InMoS",
  "functional": "SCAN",
  "state": "PBEsol geometry",
  "cell": [[-0.128, -0.667, 4.365], [-5.254, -0.940, -0.298], [0.973, -5.200, -0.766]],
  "species": ["Cd", "Mo", "Cd", "S", "In"],
  "frac_coords": [[0.000, 0.000, 0.500], [0.000, 0.000, 0.000], [0.000, 0.500, 0.000], [0.500, 0.000, 0.000], [0.500, 0.500, 0.500]],
  "dft_energy_ev_per_atom": -27.40,
  "magmom_total_mub_per_cell": 0.000,
  "space_group": "No. 123"
}


# 9
{
  "formula": "CaY2AsO",
  "functional": "SCAN",
  "state": "PBEsol geometry",
  "cell": [[-1.042, -1.235, -4.120], [1.206, -4.154, 0.940], [-5.704, -1.245, 1.816]],
  "species": ["O", "Ca", "Y", "As", "Y"],
  "frac_coords": [[0.000, 0.000, 0.000], [0.500, 0.500, 0.500], [0.500, 0.000, 0.000], [0.000, 0.000, 0.500], [0.000, 0.500, 0.000]],
  "dft_energy_ev_per_atom": -19.71,
  "magmom_total_mub_per_cell": 0.000,
  "space_group": "No. 123"
}


# 10
{
  "formula": "Sn3P2O8",
  "functional": "SCAN",
  "state": "PBEsol geometry",
  "cell": [[4.820, 0.000, 0.000], [0.000, 11.117, -0.010], [0.000, -1.345, 16.182]],
  "species": ["O", "O", "Sn", "Sn", "O", "O", "Sn", "Sn", "O", "Sn", "O", "Sn", "O", "O", "Sn", "O", "O", "O", "O", "P", "O", "Sn", "P", "O", "O", "O", "P", "O", "P", "O", "O", "O", "O", "P", "Sn", "O", "O", "O", "P", "O", "O", "Sn", "P", "O", "O", "O", "Sn", "O", "Sn", "O", "P", "O"],
  "frac_coords": [[0.821, 0.131, 0.198], [0.380, 0.037, 0.147], [0.221, 0.513, 0.861], [0.234, 0.200, 0.212], [0.321, 0.869, 0.302], [0.127, 0.647, 0.453], [0.379, 0.855, 0.540], [0.121, 0.855, 0.040], [0.314, 0.453, 0.591], [0.266, 0.200, 0.712], [0.373, 0.647, 0.953], [0.721, 0.487, 0.639], [0.748, 0.630, 0.561], [0.679, 0.131, 0.698], [0.879, 0.145, 0.960], [0.312, 0.988, 0.443], [0.179, 0.869, 0.802], [0.873, 0.353, 0.547], [0.620, 0.963, 0.853], [0.198, 0.980, 0.353], [0.686, 0.547, 0.409], [0.279, 0.513, 0.361], [0.809, 0.648, 0.470], [0.120, 0.037, 0.647], [0.688, 0.012, 0.557], [0.309, 0.227, 0.547], [0.191, 0.352, 0.530], [0.188, 0.988, 0.943], [0.302, 0.980, 0.853], [0.691, 0.773, 0.453], [0.814, 0.547, 0.909], [0.809, 0.773, 0.953], [0.752, 0.630, 0.061], [0.698, 0.020, 0.147], [0.734, 0.800, 0.288], [0.880, 0.963, 0.353], [0.252, 0.370, 0.439], [0.191, 0.227, 0.047], [0.691, 0.648, 0.970], [0.627, 0.353, 0.047], [0.217, 0.103, 0.823], [0.621, 0.145, 0.460], [0.802, 0.020, 0.647], [0.248, 0.370, 0.939], [0.283, 0.103, 0.323], [0.812, 0.012, 0.057], [0.766, 0.800, 0.788], [0.186, 0.453, 0.091], [0.779, 0.487, 0.139], [0.717, 0.897, 0.677], [0.309, 0.352, 0.030], [0.783, 0.897, 0.177]],
  "dft_energy_ev_per_atom": -15.73,
  "magmom_total_mub_per_cell": 0.000,
  "space_group": "No. 14"
}


# 11
{
  "formula": "Zr2ZnTe",
  "functional": "SCAN",
  "state": "PBEsol geometry",
  "cell": [[-1.640, 1.469, 3.064], [-3.186, -1.849, -0.818], [1.845, -4.588, 3.187]],
  "species": ["Zr", "Zn", "Te", "Zr"],
  "frac_coords": [[0.000, 0.000, 0.972], [0.500, 0.500, 0.795], [0.000, 0.000, 0.475], [0.500, 0.500, 0.257]],
  "dft_energy_ev_per_atom": -28.46,
  "magmom_total_mub_per_cell": 0.000,
  "space_group": "No. 99"
}


# 12
{
  "formula": "Ag3As",
  "functional": "SCAN",
  "state": "PBEsol geometry",
  "cell": [[-1.323, -2.470, -2.960], [-2.120, -2.147, 2.739], [-3.219, 2.429, -0.587]],
  "species": ["Ag", "As", "Ag", "Ag"],
  "frac_coords": [[0.000, 0.500, 0.500], [0.000, 0.000, 0.000], [0.500, 0.000, 0.500], [0.500, 0.500, 0.000]],
  "dft_energy_ev_per_atom": -28.49,
  "e_form_ev_per_atom": 0.08,
  "magmom_total_mub_per_cell": 0.000,
  "space_group": "No. 221"
}


# 13
{
  "formula": "Pb2S2N",
  "functional": "SCAN",
  "state": "PBEsol geometry",
  "cell": [[3.370, 0.000, 0.000], [0.000, 3.370, 0.000], [-1.685, -1.685, 8.628]],
  "species": ["N", "Pb", "Pb", "S", "S"],
  "frac_coords": [[0.000, 0.000, 0.000], [0.586, 0.586, 0.171], [0.414, 0.414, 0.829], [0.750, 0.250, 0.500], [0.250, 0.750, 0.500]],
  "dft_energy_ev_per_atom": -35.36,
  "magmom_total_mub_per_cell": 0.000,
  "space_group": "No. 139"
}


# 14
{
  "formula": "Al2ReRh",
  "functional": "SCAN",
  "state": "PBEsol geometry",
  "cell": [[-0.073, 0.660, 3.538], [-2.974, -2.003, 0.312], [3.946, -2.816, -1.224]],
  "species": ["Rh", "Re", "Al", "Al"],
  "frac_coords": [[0.250, 0.750, 0.500], [0.500, 0.500, 0.000], [0.000, 0.000, 0.000], [0.750, 0.250, 0.500]],
  "dft_energy_ev_per_atom": -30.51,
  "e_form_ev_per_atom": -0.42,
  "e_above_lowest_polymorph_kj_per_mol_atoms": 0.00,
  "magmom_total_mub_per_cell": 0.000,
  "space_group": "No. 119"
}


# 15
{
  "formula": "Zr3Cu",
  "functional": "SCAN",
  "state": "PBEsol geometry",
  "cell": [[-1.077, -0.287, 2.954], [2.751, -4.328, 0.583], [2.882, 4.888, -0.162]],
  "species": ["Zr", "Zr", "Zr", "Cu"],
  "frac_coords": [[0.282, 0.922, 0.564], [0.500, 0.560, 0.000], [0.718, 0.358, 0.436], [0.000, 0.992, 0.000]],
  "dft_energy_ev_per_atom": -26.89,
  "e_form_ev_per_atom": -0.07,
  "magmom_total_mub_per_cell": 0.000,
  "space_group": "No. 44"
}


# 16
{
  "formula": "Dy2OsPd",
  "functional": "SCAN",
  "state": "PBEsol geometry",
  "cell": [[4.795, 0.000, 0.000], [2.398, 4.153, 0.000], [2.398, 1.384, 3.915]],
  "species": ["Dy", "Os", "Dy", "Pd"],
  "frac_coords": [[0.750, 0.750, 0.750], [0.500, 0.500, 0.500], [0.250, 0.250, 0.250], [0.000, 0.000, 0.000]],
  "dft_energy_ev_per_atom": -50.74,
  "e_form_ev_per_atom": -0.68,
  "magmom_total_mub_per_cell": 0.000,
  "space_group": "No. 225"
}


# 17
{
  "formula": "BaSiB3",
  "functional": "SCAN",
  "state": "PBEsol geometry",
  "cell": [[4.789, 0.000, 0.000], [0.000, 4.789, 0.000], [0.000, 0.000, 4.789]],
  "species": ["B", "B", "Si", "Ba", "B"],
  "frac_coords": [[0.000, 0.500, 0.000], [0.000, 0.000, 0.500], [0.500, 0.500, 0.500], [0.000, 0.000, 0.000], [0.500, 0.000, 0.000]],
  "dft_energy_ev_per_atom": -11.15,
  "magmom_total_mub_per_cell": 0.000,
  "space_group": "No. 221"
}


# 18
{
  "formula": "LiSb3",
  "functional": "SCAN",
  "state": "PBEsol geometry",
  "cell": [[-3.601, -0.109, -1.304], [0.123, -5.145, 0.088], [-1.727, 1.342, 4.659]],
  "species": ["Sb", "Sb", "Sb", "Li"],
  "frac_coords": [[0.500, 0.000, 0.500], [0.500, 0.500, 0.000], [0.000, 0.500, 0.500], [0.000, 0.000, 0.000]],
  "dft_energy_ev_per_atom": -28.62,
  "e_above_lowest_polymorph_kj_per_mol_atoms": 8.35,
  "magmom_total_mub_per_cell": 0.000,
  "space_group": "No. 65"
}


# 19
{
  "formula": "SrHgPb2",
  "functional": "SCAN",
  "state": "PBEsol geometry",
  "cell": [[4.844, 0.000, 0.000], [0.000, 4.829, 0.000], [0.000, 0.000, 4.829]],
  "species": ["Pb", "Hg", "Sr", "Pb"],
  "frac_coords": [[0.000, 0.500, 0.000], [0.500, 0.000, 0.000], [0.500, 0.500, 0.500], [0.000, 0.000, 0.500]],
  "dft_energy_ev_per_atom": -60.95,
  "e_form_ev_per_atom": -0.45,
  "magmom_total_mub_per_cell": 0.000,
  "space_group": "No. 123"
}


# 20
{
  "formula": "TlAg3",
  "functional": "SCAN",
  "state": "PBEsol geometry",
  "cell": [[2.979, 0.000, 0.000], [0.000, 4.758, 0.000], [0.000, 0.000, 5.221]],
  "species": ["Ag", "Ag", "Ag", "Tl"],
  "frac_coords": [[0.500, 0.500, 0.830], [0.500, 0.000, 0.518], [0.000, 0.000, 0.993], [0.000, 0.500, 0.326]],
  "dft_energy_ev_per_atom": -41.50,
  "e_form_ev_per_atom": 0.12,
  "magmom_total_mub_per_cell": 0.000,
  "space_group": "No. 25"
}